Entry 1:
! Be2Nb2Bi, relaxed, DFT PBE; values from VASP
&SYSTEM
  ibrav = 0, nat = 10, ntyp = 3
/
ATOMIC_SPECIES
Be 9.01 Be.upf
Nb 92.91 Nb.upf
Bi 208.98 Bi.upf
CELL_PARAMETERS angstrom
6.501 0.000 0.000
0.000 6.501 0.000
0.000 0.000 3.645
ATOMIC_POSITIONS crystal
Be 0.391 0.891 0.000
Be 0.891 0.609 0.000
Be 0.609 0.109 0.000
Be 0.109 0.391 0.000
Nb 0.174 0.674 0.500
Nb 0.674 0.826 0.500
Nb 0.826 0.326 0.500
Nb 0.326 0.174 0.500
Bi 0.000 0.000 0.000
Bi 0.500 0.500 0.000
! * offset from the most stable computed form: 0.000 eV per atom
! * calculated volume: 15.4 Å³/atom

***

Entry 2:
! BeNbBi2P, relaxed, DFT PBE; values from VASP
&SYSTEM
  ibrav = 0, nat = 5, ntyp = 4
/
ATOMIC_SPECIES
P 30.97 P.upf
Nb 92.91 Nb.upf
Bi 208.98 Bi.upf
Be 9.01 Be.upf
CELL_PARAMETERS angstrom
5.410 0.000 0.000
0.000 3.829 0.000
0.000 0.000 5.410
ATOMIC_POSITIONS crystal
P 0.000 0.500 0.000
Nb 0.500 0.500 0.500
Bi 0.000 0.000 0.500
Bi 0.500 0.000 0.000
Be 0.000 0.000 0.000
! * energy: -4.630 eV/atom
! * calculated volume: 22.4 Å³/atom

***

Entry 3:
! Be2NbBiP, relaxed, DFT PBE; values from VASP
&SYSTEM
  ibrav = 0, nat = 5, ntyp = 4
/
ATOMIC_SPECIES
P 30.97 P.upf
Nb 92.91 Nb.upf
Bi 208.98 Bi.upf
Be 9.01 Be.upf
CELL_PARAMETERS angstrom
-3.780 1.267 2.298
-3.077 -1.982 -3.968
-0.088 -4.088 2.110
ATOMIC_POSITIONS crystal
P 0.500 0.500 0.500
Nb 0.000 0.000 0.000
Bi 0.000 0.500 0.000
Be 0.000 0.000 0.500
Be 0.500 0.000 0.000
! * energy: -3.870 eV/atom
! * calculated volume: 22.9 Å³/atom

***

Entry 4:
! BeNbBiPt, relaxed, DFT PBE; values from VASP
&SYSTEM
  ibrav = 0, nat = 8, ntyp = 4
/
ATOMIC_SPECIES
Be 9.01 Be.upf
Nb 92.91 Nb.upf
Bi 208.98 Bi.upf
Pt 195.08 Pt.upf
CELL_PARAMETERS angstrom
-0.636 -3.253 -6.364
2.683 -1.760 0.631
-3.678 -4.564 2.911
ATOMIC_POSITIONS crystal
Be 0.036 0.000 0.699
Be 0.036 0.500 0.199
Nb 0.827 0.000 0.381
Nb 0.827 0.500 0.881
Bi 0.529 0.000 0.060
Bi 0.529 0.500 0.560
Pt 0.142 0.000 0.018
Pt 0.142 0.500 0.518
! * offset from the most stable computed form: 0.019 eV per atom
! * calculated volume: 19.2 Å³/atom

***

Entry 5:
! BeNbBiPt, relaxed, DFT PBE; values from VASP
&SYSTEM
  ibrav = 0, nat = 8, ntyp = 4
/
ATOMIC_SPECIES
Be 9.01 Be.upf
Nb 92.91 Nb.upf
Bi 208.98 Bi.upf
Pt 195.08 Pt.upf
CELL_PARAMETERS angstrom
3.744 0.000 0.000
0.000 3.738 0.000
0.000 0.000 10.297
ATOMIC_POSITIONS crystal
Be 0.500 0.000 0.990
Be 0.500 0.500 0.490
Nb 0.000 0.000 0.420
Nb 0.000 0.500 0.920
Bi 0.500 0.000 0.744
Bi 0.500 0.500 0.244
Pt 0.000 0.000 0.114
Pt 0.000 0.500 0.614
! * offset from the most stable computed form: 0.076 eV per atom
! * calculated volume: 18.0 Å³/atom

***

Entry 6:
! BeNbBiPt, relaxed, DFT PBE; values from VASP
&SYSTEM
  ibrav = 0, nat = 8, ntyp = 4
/
ATOMIC_SPECIES
Be 9.01 Be.upf
Nb 92.91 Nb.upf
Bi 208.98 Bi.upf
Pt 195.08 Pt.upf
CELL_PARAMETERS angstrom
-0.617 0.394 -2.871
-2.847 -2.142 0.318
-8.215 11.411 3.329
ATOMIC_POSITIONS crystal
Be 0.500 0.000 0.537
Be 0.500 0.500 0.037
Nb 0.500 0.000 0.901
Nb 0.500 0.500 0.401
Bi 0.000 0.000 0.265
Bi 0.000 0.500 0.765
Pt 0.000 0.000 0.065
Pt 0.000 0.500 0.565
! * offset from the most stable computed form: 0.026 eV per atom
! * calculated volume: 19.1 Å³/atom

***

Entry 7:
! BeNbBiPt, relaxed, DFT PBE; values from VASP
&SYSTEM
  ibrav = 0, nat = 8, ntyp = 4
/
ATOMIC_SPECIES
Be 9.01 Be.upf
Nb 92.91 Nb.upf
Bi 208.98 Bi.upf
Pt 195.08 Pt.upf
CELL_PARAMETERS angstrom
4.360 0.000 0.000
0.000 4.164 0.000
0.000 0.000 9.038
ATOMIC_POSITIONS crystal
Be 0.000 0.000 0.211
Be 0.000 0.500 0.711
Nb 0.000 0.000 0.908
Nb 0.000 0.500 0.408
Bi 0.500 0.000 0.409
Bi 0.500 0.500 0.909
Pt 0.000 0.000 0.617
Pt 0.000 0.500 0.117
! * offset from the most stable computed form: 0.247 eV per atom
! * calculated volume: 20.5 Å³/atom

***

Entry 8:
! BeNbBiPt, relaxed, DFT PBE; values from VASP
&SYSTEM
  ibrav = 0, nat = 4, ntyp = 4
/
ATOMIC_SPECIES
Be 9.01 Be.upf
Nb 92.91 Nb.upf
Bi 208.98 Bi.upf
Pt 195.08 Pt.upf
CELL_PARAMETERS angstrom
-0.490 0.474 -2.963
-0.772 -3.116 -1.925
-7.572 0.098 -0.268
ATOMIC_POSITIONS crystal
Be 0.605 0.729 0.964
Nb 0.827 0.072 0.179
Bi 0.441 0.550 0.471
Pt 0.345 0.359 0.851
! * offset from the most stable computed form: 0.038 eV per atom
! * calculated volume: 19.1 Å³/atom

***

Entry 9:
! BeNbBiPt, relaxed, DFT PBE; values from VASP
&SYSTEM
  ibrav = 0, nat = 8, ntyp = 4
/
ATOMIC_SPECIES
Be 9.01 Be.upf
Nb 92.91 Nb.upf
Bi 208.98 Bi.upf
Pt 195.08 Pt.upf
CELL_PARAMETERS angstrom
-4.753 4.688 2.811
-1.891 -0.154 -2.940
-1.388 -6.090 1.212
ATOMIC_POSITIONS crystal
Be 0.041 0.000 0.973
Be 0.041 0.500 0.473
Nb 0.829 0.000 0.202
Nb 0.829 0.500 0.702
Bi 0.511 0.000 0.376
Bi 0.511 0.500 0.876
Pt 0.155 0.000 0.696
Pt 0.155 0.500 0.196
! * offset from the most stable computed form: 0.021 eV per atom
! * calculated volume: 18.5 Å³/atom

***

Entry 10:
! BeNbBiPt, relaxed, DFT PBE; values from VASP
&SYSTEM
  ibrav = 0, nat = 4, ntyp = 4
/
ATOMIC_SPECIES
Be 9.01 Be.upf
Nb 92.91 Nb.upf
Bi 208.98 Bi.upf
Pt 195.08 Pt.upf
CELL_PARAMETERS angstrom
-0.283 2.506 4.037
-0.481 -2.596 1.578
4.870 -1.150 -0.408
ATOMIC_POSITIONS crystal
Be 0.124 0.500 0.459
Nb 0.029 0.000 0.999
Bi 0.617 0.000 0.398
Pt 0.475 0.500 0.854
! * offset from the most stable computed form: 0.216 eV per atom
! * calculated volume: 17.8 Å³/atom

***

Entry 11:
! BeNbBiPt, relaxed, DFT PBE; values from VASP
&SYSTEM
  ibrav = 0, nat = 8, ntyp = 4
/
ATOMIC_SPECIES
Be 9.01 Be.upf
Nb 92.91 Nb.upf
Bi 208.98 Bi.upf
Pt 195.08 Pt.upf
CELL_PARAMETERS angstrom
8.130 0.000 -0.020
0.000 4.352 0.000
-1.135 0.000 4.172
ATOMIC_POSITIONS crystal
Be 0.035 0.000 0.629
Be 0.035 0.500 0.129
Nb 0.816 0.000 0.019
Nb 0.816 0.500 0.519
Bi 0.524 0.000 0.377
Bi 0.524 0.500 0.877
Pt 0.159 0.000 0.190
Pt 0.159 0.500 0.690
! * offset from the most stable computed form: 0.021 eV per atom
! * calculated volume: 18.4 Å³/atom

***

Entry 12:
! BeNbBiPt, relaxed, DFT PBE; values from VASP
&SYSTEM
  ibrav = 0, nat = 8, ntyp = 4
/
ATOMIC_SPECIES
Be 9.01 Be.upf
Nb 92.91 Nb.upf
Bi 208.98 Bi.upf
Pt 195.08 Pt.upf
CELL_PARAMETERS angstrom
-0.391 -4.446 5.941
1.920 -2.014 -1.381
5.115 4.656 0.321
ATOMIC_POSITIONS crystal
Be 0.047 0.000 0.998
Be 0.047 0.500 0.498
Nb 0.821 0.000 0.604
Nb 0.821 0.500 0.104
Bi 0.501 0.000 0.762
Bi 0.501 0.500 0.262
Pt 0.167 0.000 0.351
Pt 0.167 0.500 0.851
! * offset from the most stable computed form: 0.056 eV per atom
! * calculated volume: 18.3 Å³/atom